An optimized crystal structure of MnBiI, computed with PBE.

Cell lengths 4.068, 7.005, 7.890 Å; angles 63.84, 89.91, 90.04 degrees
Site moments in Bohr magnetons follow the coordinates.
Positions (direct):
I (0.499, 0.361, 0.780)  0.02
Mn (0.499, 0.772, 0.500)  3.89
Bi (0.001, 0.105, 0.290)  -0.21
I (0.501, 0.639, 0.220)  0.02
Bi (0.999, 0.895, 0.710)  -0.21
Mn (0.501, 0.228, 0.500)  3.89

Computed properties:
DFT total energy = -29.2 eV per cell
D(E_F) = 0.289 states/eV per atom
Symmetry = P-1
Formation energy (no corrections) = -0.004 eV per atom

An optimized crystal structure of Mn3BiI, computed with PBE.

Cell lengths 5.341, 5.341, 5.341 Å; angles 90.00, 90.00, 90.00 degrees
Site moments in Bohr magnetons follow the coordinates.
Positions (direct):
Mn (0.000, 0.500, 0.000)  4.04
I (0.500, 0.500, 0.500)  0.15
Mn (0.000, 0.000, 0.500)  3.92
Mn (0.500, 0.000, 0.000)  4.05
Bi (0.000, 0.000, 0.000)  -0.11

Computed properties:
DFT total energy = -28.0 eV per cell
D(E_F) = 1.651 states/eV per atom
Symmetry = Pm-3m
Formation energy (no corrections) = 0.981 eV per atom

An optimized crystal structure of MnBiI2, computed with PBE.

Cell lengths 3.874, 3.874, 10.793 Å; angles 79.66, 79.66, 60.00 degrees
Site moments in Bohr magnetons follow the coordinates.
Positions (direct):
I (0.111, 0.111, 0.667)  0.07
Bi (0.000, 0.000, 0.000)  -0.17
Mn (0.500, 0.500, 0.500)  4.14
I (0.889, 0.889, 0.333)  0.07

Computed properties:
DFT total energy = -16.1 eV per cell
D(E_F) = 0.531 states/eV per atom
Symmetry = R-3m
Formation energy (no corrections) = 0.013 eV per atom

An optimized crystal structure of MnBi2I8, computed with PBE.

Cell lengths 4.154, 11.124, 11.061 Å; angles 87.72, 100.82, 90.00 degrees
Site moments in Bohr magnetons follow the coordinates.
Positions (direct):
Bi (0.851, 0.257, 0.702)  0.01
Mn (0.500, 0.000, 0.000)  4.33
I (0.634, 0.968, 0.268)  0.03
Bi (0.149, 0.743, 0.298)  0.01
I (0.995, 0.819, 0.991)  0.06
I (0.005, 0.181, 0.009)  0.06
I (0.759, 0.707, 0.518)  0.01
I (0.241, 0.293, 0.482)  0.01
I (0.597, 0.563, 0.195)  0.00
I (0.366, 0.032, 0.732)  0.03
I (0.403, 0.437, 0.805)  0.00

Computed properties:
DFT total energy = -33.6 eV per cell
Symmetry = C2/m
Formation energy (no corrections) = -0.390 eV per atom

An optimized crystal structure of MnBiI2N, computed with PBE.

Cell lengths 5.642, 5.642, 3.592 Å; angles 90.00, 90.00, 90.00 degrees
Positions (direct):
N (0.000, 0.000, 0.500)
I (0.500, 0.000, 0.000)
I (0.000, 0.500, 0.000)
Mn (0.000, 0.000, 0.000)
Bi (0.500, 0.500, 0.500)

Computed properties:
DFT total energy = -22.4 eV per cell
D(E_F) = 1.665 states/eV per atom
Symmetry = P4/mmm
Formation energy (no corrections) = 0.412 eV per atom

An optimized crystal structure of MnBiI2N, computed with PBE.

Cell lengths 6.378, 6.378, 4.232 Å; angles 90.00, 90.00, 90.00 degrees
Site moments in Bohr magnetons follow the coordinates.
Positions (direct):
Mn (0.500, 0.500, 0.500)  4.75
N (0.000, 0.000, 0.500)  0.11
I (0.000, 0.500, 0.000)  0.06
Bi (0.000, 0.000, 0.000)  -0.02
I (0.500, 0.000, 0.000)  0.06

Computed properties:
DFT total energy = -19.6 eV per cell
D(E_F) = 1.041 states/eV per atom
Symmetry = P4/mmm
Formation energy (no corrections) = 0.971 eV per atom

An optimized crystal structure of RbMn2BiI8, computed with PBE.

Cell lengths 7.528, 7.528, 11.945 Å; angles 71.63, 71.63, 60.00 degrees
Site moments in Bohr magnetons follow the coordinates.
Positions (direct):
I (0.618, 0.287, 0.166)  0.04
I (0.175, 0.175, 0.475)  0.06
I (0.825, 0.825, 0.525)  0.06
Mn (0.747, 0.747, 0.760)  4.24
I (0.382, 0.713, 0.834)  0.04
I (0.287, 0.929, 0.166)  0.04
Bi (0.000, 0.000, 0.000)  0.07
I (0.713, 0.071, 0.834)  0.04
I (0.929, 0.618, 0.166)  0.04
Mn (0.253, 0.253, 0.240)  4.24
Rb (0.500, 0.500, 0.500)  0.00
I (0.071, 0.382, 0.834)  0.04

Computed properties:
DFT total energy = -42.6 eV per cell
Symmetry = R-3
Formation energy (no corrections) = -0.582 eV per atom

An optimized crystal structure of Rb2MnBiI, computed with PBE.

Cell lengths 6.782, 6.233, 6.782 Å; angles 90.00, 90.00, 90.00 degrees
Site moments in Bohr magnetons follow the coordinates.
Positions (direct):
Mn (0.500, 0.500, 0.500)  4.44
Bi (0.000, 0.500, 0.000)  0.00
I (0.000, 0.000, 0.000)  -0.01
Rb (0.500, 0.000, 0.000)  0.00
Rb (0.000, 0.000, 0.500)  0.00

Computed properties:
DFT total energy = -14.7 eV per cell
D(E_F) = 0.592 states/eV per atom
Symmetry = P4/mmm
Formation energy (no corrections) = 0.370 eV per atom

An optimized crystal structure of MnBiSb2I, computed with PBE.

Cell lengths 4.915, 4.915, 5.709 Å; angles 90.00, 90.00, 90.00 degrees
Positions (direct):
Mn (0.000, 0.000, 0.000)
Bi (0.500, 0.500, 0.500)
I (0.000, 0.000, 0.500)
Sb (0.000, 0.500, 0.000)
Sb (0.500, 0.000, 0.000)

Computed properties:
DFT total energy = -20.5 eV per cell
D(E_F) = 0.944 states/eV per atom
Symmetry = P4/mmm
Formation energy (no corrections) = 0.475 eV per atom

An optimized crystal structure of MnBiSbI2, computed with PBE.

Cell lengths 5.235, 5.235, 5.168 Å; angles 90.00, 90.00, 90.00 degrees
Site moments in Bohr magnetons follow the coordinates.
Positions (direct):
Mn (0.000, 0.000, 0.000)  0.00
Sb (0.000, 0.000, 0.500)  0.01
I (0.000, 0.500, 0.000)  0.01
Bi (0.500, 0.500, 0.500)  -0.05
I (0.500, 0.000, 0.000)  0.01

Computed properties:
DFT total energy = -17.5 eV per cell
D(E_F) = 1.772 states/eV per atom
Symmetry = P4/mmm
Formation energy (no corrections) = 0.546 eV per atom

An optimized crystal structure of MnSn2BiI, computed with PBE.

Cell lengths 5.653, 4.734, 5.653 Å; angles 90.00, 90.00, 90.00 degrees
Site moments in Bohr magnetons follow the coordinates.
Positions (direct):
Sn (0.500, 0.000, 0.000)  -0.08
Sn (0.000, 0.000, 0.500)  -0.06
I (0.000, 0.000, 0.000)  -0.01
Mn (0.000, 0.500, 0.000)  3.44
Bi (0.500, 0.500, 0.500)  0.07

Computed properties:
DFT total energy = -17.7 eV per cell
D(E_F) = 0.833 states/eV per atom
Symmetry = P4/mmm
Formation energy (no corrections) = 0.974 eV per atom

An optimized crystal structure of Mn2SnBiI, computed with PBE.

Cell lengths 4.982, 5.841, 4.982 Å; angles 90.00, 90.00, 90.00 degrees
Site moments in Bohr magnetons follow the coordinates.
Positions (direct):
Bi (0.000, 0.500, 0.000)  -0.14
Mn (0.000, 0.000, 0.500)  4.08
Sn (0.000, 0.000, 0.000)  -0.09
Mn (0.500, 0.000, 0.000)  3.93
I (0.500, 0.500, 0.500)  0.07

Computed properties:
DFT total energy = -23.6 eV per cell
D(E_F) = 0.866 states/eV per atom
Symmetry = P4/mmm
Formation energy (no corrections) = 0.840 eV per atom

An optimized crystal structure of MnBiTe2I, computed with PBE.

Cell lengths 5.051, 5.051, 5.429 Å; angles 90.00, 90.00, 90.00 degrees
Positions (direct):
Bi (0.500, 0.500, 0.500)
Te (0.500, 0.000, 0.000)
I (0.000, 0.000, 0.500)
Mn (0.000, 0.000, 0.000)
Te (0.000, 0.500, 0.000)

Computed properties:
DFT total energy = -18.8 eV per cell
D(E_F) = 1.505 states/eV per atom
Symmetry = P4/mmm
Formation energy (no corrections) = 0.413 eV per atom

An optimized crystal structure of TiMnBiI2, computed with PBE.

Cell lengths 6.402, 5.495, 6.402 Å; angles 90.00, 90.00, 90.00 degrees
Site moments in Bohr magnetons follow the coordinates.
Positions (direct):
I (0.500, 0.000, 0.000)  0.07
Ti (0.000, 0.500, 0.000)  1.79
I (0.000, 0.000, 0.500)  0.07
Mn (0.500, 0.500, 0.500)  4.66
Bi (0.000, 0.000, 0.000)  -0.04

Computed properties:
DFT total energy = -19.0 eV per cell
D(E_F) = 1.919 states/eV per atom
Symmetry = P4/mmm
Formation energy (no corrections) = 1.000 eV per atom

An optimized crystal structure of Ti2MnBiI, computed with PBE.

Cell lengths 5.103, 4.837, 5.103 Å; angles 90.00, 90.00, 90.00 degrees
Site moments in Bohr magnetons follow the coordinates.
Positions (direct):
Ti (0.000, 0.000, 0.500)  -1.31
I (0.000, 0.000, 0.000)  -0.03
Bi (0.500, 0.500, 0.500)  0.09
Ti (0.500, 0.000, 0.000)  -1.20
Mn (0.000, 0.500, 0.000)  3.28

Computed properties:
DFT total energy = -26.0 eV per cell
D(E_F) = 1.227 states/eV per atom
Symmetry = P4/mmm
Formation energy (no corrections) = 0.880 eV per atom

An optimized crystal structure of MnTlBi2I, computed with PBE.

Cell lengths 5.071, 6.119, 5.071 Å; angles 90.00, 90.00, 90.00 degrees
Positions (direct):
Bi (0.000, 0.000, 0.500)
I (0.000, 0.500, 0.000)
Mn (0.000, 0.000, 0.000)
Bi (0.500, 0.000, 0.000)
Tl (0.500, 0.500, 0.500)

Computed properties:
DFT total energy = -19.1 eV per cell
D(E_F) = 0.777 states/eV per atom
Symmetry = P4/mmm
Formation energy (no corrections) = 0.348 eV per atom

An optimized crystal structure of BiMoI2, computed with PBE.

Cell lengths 10.059, 10.059, 7.615 Å; angles 48.66, 48.66, 90.00 degrees
Site moments in Bohr magnetons follow the coordinates.
Positions (direct):
I (0.485, 0.125, 0.250)  0.00
Mo (0.500, 0.500, 0.000)  1.08
I (0.875, 0.735, 0.750)  0.00
Bi (0.750, 0.250, 0.500)  -0.18
Mo (0.250, 0.750, 0.500)  1.09
I (0.375, 0.515, 0.750)  0.00
Bi (0.000, 0.000, 0.000)  -0.18
I (0.265, 0.625, 0.250)  0.00

Computed properties:
DFT total energy = -32.5 eV per cell
D(E_F) = 0.463 states/eV per atom
Symmetry = I-42d
Formation energy (no corrections) = 0.388 eV per atom

An optimized crystal structure of BiMoI2, computed with PBE.

Cell lengths 5.422, 5.422, 5.422 Å; angles 60.00, 60.00, 60.00 degrees
Site moments in Bohr magnetons follow the coordinates.
Positions (direct):
I (0.250, 0.250, 0.250)  -0.02
I (0.750, 0.750, 0.750)  -0.02
Mo (0.000, 0.000, 0.000)  2.96
Bi (0.500, 0.500, 0.500)  -0.27

Computed properties:
DFT total energy = -14.0 eV per cell
D(E_F) = 0.558 states/eV per atom
Symmetry = Fm-3m
Formation energy (no corrections) = 0.941 eV per atom

An optimized crystal structure of BiMoI, computed with PBE.

Cell lengths 4.619, 6.083, 7.418 Å; angles 105.92, 98.06, 93.29 degrees
Positions (direct):
Bi (0.913, 0.156, 0.689)
Mo (0.589, 0.717, 0.467)
I (0.451, 0.690, 0.800)
I (0.549, 0.310, 0.200)
Bi (0.087, 0.844, 0.311)
Mo (0.411, 0.283, 0.533)

Computed properties:
DFT total energy = -30.0 eV per cell
D(E_F) = 0.654 states/eV per atom
Symmetry = P-1
Formation energy (no corrections) = 0.422 eV per atom

An optimized crystal structure of BiMoI3, computed with PBE.

Cell lengths 6.180, 6.180, 6.180 Å; angles 90.00, 90.00, 90.00 degrees
Site moments in Bohr magnetons follow the coordinates.
Positions (direct):
I (0.000, 0.000, 0.500)  0.00
I (0.500, 0.000, 0.000)  0.02
Bi (0.000, 0.000, 0.000)  0.15
I (0.000, 0.500, 0.000)  0.00
Mo (0.500, 0.500, 0.500)  4.17

Computed properties:
DFT total energy = -15.2 eV per cell
D(E_F) = 0.598 states/eV per atom
Symmetry = Pm-3m
Formation energy (no corrections) = 0.838 eV per atom